The following is a DFT calculation (PBE+U) of a relaxed structure of MnSnRuO6. Values from VASP.

Computed properties:
Total moment, μB per formula unit: 2.9
Crystal system: tetragonal
E_tot, eV per cell: -123.8

Structure (Quantum ESPRESSO input):
```
&SYSTEM
  ibrav = 0, nat = 18, ntyp = 4
/
ATOMIC_SPECIES
Mn 54.94 Mn.upf
Sn 118.71 Sn.upf
Ru 101.07 Ru.upf
O 16.00 O.upf
ATOMIC_POSITIONS crystal
Mn 0.000 0.000 0.000
Mn 0.500 0.500 0.500
Sn 0.000 0.000 0.333
Sn 0.500 0.500 0.833
Ru 0.000 0.000 0.665
Ru 0.500 0.500 0.165
O 0.188 0.188 0.826
O 0.199 0.199 0.505
O 0.208 0.208 0.164
O 0.292 0.708 0.664
O 0.301 0.699 0.005
O 0.312 0.688 0.326
O 0.688 0.312 0.326
O 0.699 0.301 0.005
O 0.708 0.292 0.664
O 0.792 0.792 0.164
O 0.801 0.801 0.505
O 0.812 0.812 0.826
CELL_PARAMETERS angstrom
4.629 0.000 0.000
0.000 4.629 0.000
0.000 0.000 9.620
```